No. 1
# CsRbGe | Alexandria | PBE-GGA | optimized geometry
# Calculated density (g cm⁻³): 3.17
# Formation energy from the elements (eV/atom): -0.024
data_CsRbGe
_chemical_formula_sum 'Cs2 Rb2 Ge2'
_cell_length_a 4.2239
_cell_length_b 6.3928
_cell_length_c 11.7240
_cell_angle_alpha 105.74
_cell_angle_beta 90.01
_cell_angle_gamma 90.03
_symmetry_space_group_name_H-M 'P 1'
_symmetry_Int_Tables_number 1
loop_
_symmetry_equiv_pos_as_xyz
'x,y,z'
loop_
_atom_site_label
_atom_site_type_symbol
_atom_site_fract_x
_atom_site_fract_y
_atom_site_fract_z
_atom_site_occupancy
Cs1 Cs 0.0000 0.0000 0.0000 1
Cs2 Cs 0.5000 0.1527 0.3058 1
Rb1 Rb 0.0054 0.4005 0.7995 1
Rb2 Rb 0.5057 0.7534 0.5065 1
Ge1 Ge 0.0043 0.6073 0.2169 1
Ge2 Ge 0.5041 0.5424 0.0879 1

***

No. 2
# Nb5Re2Mo | Alexandria | PBE-GGA | optimized geometry
# Calculated density (g cm⁻³): 11.29
# Formation energy from the elements (eV/atom): -0.094
data_Nb5Re2Mo
_chemical_formula_sum 'Nb10 Re4 Mo2'
_cell_length_a 5.5255
_cell_length_b 10.8056
_cell_length_c 4.5969
_cell_angle_alpha 90.00
_cell_angle_beta 90.00
_cell_angle_gamma 90.00
_symmetry_space_group_name_H-M 'P b a m'
_symmetry_Int_Tables_number 55
loop_
_symmetry_equiv_pos_as_xyz
'x,y,z'
'-x,-y,-z'
'-x,-y,z'
'x,y,-z'
'x+1/2,-y+1/2,-z'
'-x+1/2,y+1/2,z'
'-x+1/2,y+1/2,-z'
'x+1/2,-y+1/2,z'
loop_
_atom_site_label
_atom_site_type_symbol
_atom_site_fract_x
_atom_site_fract_y
_atom_site_fract_z
_atom_site_occupancy
Nb1 Nb 0.0000 0.0000 0.0000 1
Nb2 Nb 0.1540 0.2585 0.0000 1
Nb3 Nb 0.1639 0.6220 0.5000 1
Re1 Re 0.1688 0.8825 0.5000 1
Mo1 Mo 0.0000 0.5000 0.0000 1

***

No. 3
# Ce6Tl5Pb | Alexandria | PBE-GGA | optimized geometry
# Calculated density (g cm⁻³): 9.99
# Formation energy from the elements (eV/atom): -0.271
data_Ce6Tl5Pb
_chemical_formula_sum 'Ce12 Tl10 Pb2'
_cell_length_a 4.9677
_cell_length_b 9.2997
_cell_length_c 14.8983
_cell_angle_alpha 90.00
_cell_angle_beta 90.00
_cell_angle_gamma 90.00
_symmetry_space_group_name_H-M 'I m m m'
_symmetry_Int_Tables_number 71
_symmetry_space_group_name_Hall '-I 2 2'
loop_
_atom_site_label
_atom_site_type_symbol
_atom_site_fract_x
_atom_site_fract_y
_atom_site_fract_z
_atom_site_occupancy
Ce1 Ce 0.0000 0.2500 0.0000 1
Ce2 Ce 0.0000 0.2500 0.3330 1
Tl1 Tl 0.0000 0.0000 0.1664 1
Tl2 Tl 0.0000 0.5000 0.1688 1
Tl3 Tl 0.0000 0.5000 0.5000 1
Pb1 Pb 0.0000 0.0000 0.5000 1

***

Short version: calculated volume = 50.79, 17.15, 28.68 Å³ per atom, in the order given.